## Th6Pt2RhSe3 (PBE-GGA)

Data for a relaxed Th6Pt2RhSe3 crystal.

Cell: 4.152 8.723 9.649 Å, 107.00 102.42 90.00°
Fractional positions:
Rh (0.500, 0.000, 0.000)
Th (0.659, 0.092, 0.317)
Se (0.831, 0.167, 0.663)
Th (0.341, 0.908, 0.683)
Pt (0.834, 0.667, 0.668)
Se (0.169, 0.833, 0.337)
Se (0.500, 0.500, 0.000)
Th (0.671, 0.573, 0.342)
Th (0.997, 0.766, 0.994)
Pt (0.166, 0.333, 0.332)
Th (0.003, 0.234, 0.006)
Th (0.329, 0.427, 0.658)

## Properties
Calculated density = 10.823 g/cm3
Total energy = -7.512 eV per atom


## Li2Sm3Pt4 (PBE-GGA)

Data for a relaxed Li2Sm3Pt4 crystal.

Cell: 4.255 5.535 8.726 Å, 97.11 90.00 112.61°
Fractional positions:
Li (0.684, 0.368, 0.787)
Pt (0.289, 0.577, 0.909)
Pt (0.711, 0.423, 0.091)
Pt (0.093, 0.185, 0.633)
Li (0.316, 0.632, 0.213)
Pt (0.907, 0.815, 0.367)
Sm (0.382, 0.763, 0.621)
Sm (0.618, 0.237, 0.379)
Sm (0.000, 0.000, 0.000)

## Properties
ΔH_f (0 K) = -0.915 eV/atom
Calculated density = 10.997 g/cm3
Total energy = -5.598 eV per atom


## YAgSn (PBE-GGA)

Data for a relaxed YAgSn crystal.

Cell: 6.515 5.931 4.725 Å, 66.59 89.92 110.42°
Fractional positions:
Y (0.286, 0.027, 0.669)
Ag (0.635, 0.184, 0.089)
Sn (0.813, 0.072, 0.645)
Sn (0.202, 0.599, 0.382)
Ag (0.381, 0.487, 0.938)
Y (0.730, 0.644, 0.358)

## Properties
ΔH_f (0 K) = -0.441 eV/atom
Calculated density = 6.764 g/cm3
Total energy = -4.880 eV per atom


## PmZrTe2 (PBE-GGA)

Data for a relaxed PmZrTe2 crystal.

Cell: 5.246 5.246 5.246 Å, 60.00 60.00 60.00°
Fractional positions:
Te (0.250, 0.250, 0.250)
Pm (0.000, 0.000, 0.000)
Te (0.750, 0.750, 0.750)
Zr (0.500, 0.500, 0.500)

## Properties
Calculated density = 7.995 g/cm3
Total energy = -5.869 eV per atom
Energy above the lowest structure with this stoichiometry = 0.070 eV/f.u.


## CeAl9Pt2 (PBE-GGA)

Data for a relaxed CeAl9Pt2 crystal.

Cell: 7.184 8.372 8.372 Å, 79.39 64.60 64.60°
Fractional positions:
Al (0.675, 0.580, 0.177)
Al (0.075, 0.920, 0.323)
Al (0.318, 0.677, 0.080)
Al (0.005, 0.920, 0.677)
Al (0.675, 0.177, 0.580)
Al (0.602, 0.323, 0.080)
Al (0.148, 0.420, 0.177)
Al (0.148, 0.177, 0.420)
Al (0.745, 0.580, 0.823)
Al (0.318, 0.080, 0.677)
Al (0.432, 0.823, 0.420)
Ce (0.250, 0.500, 0.500)
Al (0.005, 0.677, 0.920)
Pt (0.875, 0.250, 0.250)
Al (0.745, 0.823, 0.580)
Al (0.602, 0.080, 0.323)
Pt (0.875, 0.250, 0.750)
Al (0.000, 0.000, 0.000)
Pt (0.875, 0.750, 0.250)
Al (0.750, 0.500, 0.500)
Ce (0.500, 0.000, 0.000)
Al (0.075, 0.323, 0.920)
Al (0.432, 0.420, 0.823)
Pt (0.375, 0.750, 0.750)

## Properties
ΔH_f (0 K) = -0.552 eV/atom
Calculated density = 6.249 g/cm3
Total energy = -4.860 eV per atom


## ZrInPd2 (PBE-GGA)

Data for a relaxed ZrInPd2 crystal.

Cell: 3.421 3.421 6.431 Å, 90.00 90.00 90.00°
Fractional positions:
In (0.000, 0.000, 0.000)
Pd (0.500, 0.500, 0.731)
Zr (0.000, 0.000, 0.500)
Pd (0.500, 0.500, 0.269)

## Properties
ΔH_f (0 K) = -0.603 eV/atom
Calculated density = 9.242 g/cm3
Total energy = -6.022 eV per atom


## CrHg2Ru (PBE-GGA)

Data for a relaxed CrHg2Ru crystal.

Cell: 3.052 3.894 5.989 Å, 90.00 90.00 90.00°
Fractional positions:
Hg (0.000, 0.000, 0.499)
Ru (0.500, 0.500, 0.250)
Hg (0.000, 0.000, 0.001)
Cr (0.500, 0.500, 0.750)

## Properties
ΔH_f (0 K) = 0.569 eV/atom
Calculated density = 12.935 g/cm3
Total energy = -4.307 eV per atom
Energy above the lowest structure with this stoichiometry = 1.092 eV/f.u.


## Nd2SnO (PBE-GGA)

Data for a relaxed Nd2SnO crystal.

Cell: 4.671 4.671 9.187 Å, 90.01 90.01 90.00°
Fractional positions:
Sn (0.750, 0.750, 0.202)
O (0.250, 0.250, 0.422)
O (0.750, 0.750, 0.578)
Nd (0.250, 0.250, 0.164)
Sn (0.250, 0.250, 0.798)
Nd (0.750, 0.750, 0.836)
Nd (0.750, 0.250, 0.500)
Nd (0.250, 0.750, 0.500)

## Properties
Calculated density = 7.011 g/cm3
Total energy = -6.444 eV per atom
Energy above the lowest structure with this stoichiometry = 0.000 eV/f.u.


## Ba3SrI8 (PBE-GGA)

Data for a relaxed Ba3SrI8 crystal.

Cell: 10.160 10.160 10.160 Å, 131.79 131.79 70.56°
Fractional positions:
I (0.368, 0.368, 0.491)
I (0.368, 0.877, 0.000)
Ba (0.500, 0.500, 0.000)
I (0.123, 0.632, 0.000)
I (0.877, 0.368, 0.000)
Sr (0.000, 0.000, 0.000)
I (0.877, 0.877, 0.509)
Ba (0.750, 0.250, 0.500)
I (0.632, 0.632, 0.509)
I (0.123, 0.123, 0.491)
I (0.632, 0.123, 0.000)
Ba (0.250, 0.750, 0.500)

## Properties
Calculated density = 4.404 g/cm3
Total energy = -3.405 eV per atom


## Ce2HfPb (PBE-GGA)

Data for a relaxed Ce2HfPb crystal.

Cell: 3.223 3.223 11.887 Å, 82.21 82.21 60.00°
Fractional positions:
Ce (0.916, 0.916, 0.251)
Ce (0.084, 0.084, 0.749)
Pb (0.500, 0.500, 0.500)
Hf (0.000, 0.000, 0.000)

## Properties
ΔH_f (0 K) = 0.177 eV/atom
Calculated density = 10.468 g/cm3
Total energy = -6.205 eV per atom
Energy above the lowest structure with this stoichiometry = 1.236 eV/f.u.


## LiGaSb2 (PBE-GGA)

Data for a relaxed LiGaSb2 crystal.

Cell: 6.638 6.638 7.127 Å, 62.24 62.24 90.00°
Fractional positions:
Ga (0.000, 0.000, 0.000)
Li (0.500, 0.500, 0.000)
Sb (0.635, 0.125, 0.250)
Ga (0.750, 0.250, 0.500)
Sb (0.875, 0.885, 0.750)
Sb (0.115, 0.625, 0.250)
Li (0.250, 0.750, 0.500)
Sb (0.375, 0.365, 0.750)

## Properties
Calculated density = 4.500 g/cm3
Total energy = -3.249 eV per atom


## Cs2TeAuCl6 (PBE-GGA)

Data for a relaxed Cs2TeAuCl6 crystal.

Cell: 7.981 7.981 7.891 Å, 59.62 59.62 90.00°
Fractional positions:
Cs (0.250, 0.750, 0.500)
Cl (0.728, 0.272, 0.000)
Te (0.500, 0.500, 0.000)
Cl (0.212, 0.212, 0.575)
Cl (0.788, 0.788, 0.425)
Cs (0.750, 0.250, 0.500)
Cl (0.728, 0.728, 0.000)
Cl (0.272, 0.728, 0.000)
Au (0.000, 0.000, 0.000)
Cl (0.272, 0.272, 0.000)

## Properties
Calculated density = 3.796 g/cm3
Total energy = -2.980 eV per atom